Below is a relaxed structure of Pm5TlCd2, with properties calculated at the GGA-PBE level.

Calculated values
Mass density, g/cm3: 7.9
ΔH_f (0 K), eV per atom: -0.218
ΔE to the lowest computed polymorph, meV/atom: 0
Symmetry: No. 55
Volume, Å³ per cell: 486
Calculated total energy, eV per formula unit: -29.69

Unit cell a=5.461 b=6.763 c=13.147 alpha=90.00 beta=90.00 gamma=90.00
Fractional coordinates of all 16 atoms:
Pm 0.500 0.143 0.617
Cd 0.500 0.879 0.132
Pm 0.500 0.357 0.117
Pm 0.000 0.329 0.776
Pm 0.000 0.000 0.000
Pm 0.000 0.829 0.724
Tl 0.000 0.000 0.500
Cd 0.500 0.121 0.868
Tl 0.000 0.500 0.000
Pm 0.500 0.857 0.383
Pm 0.500 0.643 0.883
Cd 0.500 0.621 0.632
Pm 0.000 0.671 0.224
Cd 0.500 0.379 0.368
Pm 0.000 0.500 0.500
Pm 0.000 0.171 0.276

Below is a relaxed structure of PmTlCd11, with properties calculated at the GGA-PBE level.

Calculated values
Mass density, g/cm3: 8.5
ΔH_f (0 K), eV per atom: -0.055
Symmetry: No. 12
Volume, Å³ per cell: 309
Calculated total energy, eV per formula unit: -17.90

Unit cell a=6.114 b=7.748 c=7.728 alpha=80.99 beta=66.70 gamma=66.69
Fractional coordinates of all 13 atoms:
Cd 0.014 0.349 0.641
Cd 0.000 0.000 0.500
Cd 0.512 0.793 0.212
Cd 0.500 0.000 0.500
Cd 0.724 0.793 0.788
Cd 0.655 0.349 0.359
Pm 0.000 0.000 0.000
Cd 0.000 0.500 0.000
Cd 0.488 0.207 0.788
Cd 0.986 0.651 0.359
Cd 0.345 0.651 0.641
Tl 0.500 0.500 0.000
Cd 0.276 0.207 0.212

Below is a relaxed structure of Pm7Tl5Cd, with properties calculated at the GGA-PBE level.

Calculated values
Mass density, g/cm3: 8.9
ΔH_f (0 K), eV per atom: -0.180
Symmetry: No. 44
Volume, Å³ per cell: 403
Calculated total energy, eV per formula unit: -48.35

Unit cell a=6.798 b=8.418 c=8.418 alpha=79.68 beta=66.18 gamma=66.18
Fractional coordinates of all 13 atoms:
Pm 0.616 0.384 0.384
Pm 0.008 0.675 0.308
Pm 0.526 0.799 0.150
Tl 0.523 0.472 0.999
Tl 0.523 0.999 0.472
Pm 0.282 0.218 0.218
Tl 0.006 0.472 0.999
Tl 0.771 0.729 0.729
Pm 0.526 0.150 0.799
Tl 0.006 0.999 0.472
Pm 0.256 0.744 0.744
Pm 0.008 0.308 0.675
Cd 0.951 0.049 0.049

Below is a relaxed structure of Pm6Tl5Cd, with properties calculated at the GGA-PBE level.

Calculated values
Mass density, g/cm3: 8.8
ΔH_f (0 K), eV per atom: -0.245
ΔE to the lowest computed polymorph, meV/atom: 135
Symmetry: No. 12
Volume, Å³ per cell: 376
Calculated total energy, eV per formula unit: -44.19

Unit cell a=6.614 b=10.041 c=7.683 alpha=49.20 beta=81.45 gamma=76.85
Fractional coordinates of all 12 atoms:
Pm 0.750 0.417 0.669
Cd 0.000 0.000 0.000
Pm 0.250 0.583 0.331
Tl 0.000 0.671 0.658
Pm 0.756 0.748 0.000
Tl 0.500 0.837 0.326
Tl 0.500 0.500 0.000
Tl 0.500 0.163 0.674
Tl 0.000 0.329 0.342
Pm 0.244 0.252 0.000
Pm 0.750 0.085 0.331
Pm 0.250 0.915 0.669

Below is a relaxed structure of Pm3Tl2Cd3, with properties calculated at the GGA-PBE level.

Calculated values
Mass density, g/cm3: 8.9
ΔH_f (0 K), eV per atom: -0.258
ΔE to the lowest computed polymorph, meV/atom: 20
Symmetry: No. 12
Volume, Å³ per cell: 220
Calculated total energy, eV per formula unit: -23.80

Unit cell a=4.574 b=5.162 c=9.934 alpha=105.22 beta=103.31 gamma=90.00
Fractional coordinates of all 8 atoms:
Pm 0.135 0.636 0.270
Pm 0.865 0.364 0.730
Tl 0.759 0.758 0.518
Cd 0.376 0.874 0.752
Cd 0.624 0.126 0.248
Pm 0.000 0.000 0.000
Cd 0.500 0.500 0.000
Tl 0.241 0.242 0.482

Below is a relaxed structure of PmTl2Cd, with properties calculated at the GGA-PBE level.

Calculated values
Mass density, g/cm3: 10.2
ΔH_f (0 K), eV per atom: -0.139
Symmetry: No. 123
Volume, Å³ per cell: 109
Calculated total energy, eV per formula unit: -10.95

Unit cell a=3.748 b=3.748 c=7.744 alpha=90.00 beta=90.00 gamma=90.00
Fractional coordinates of all 4 atoms:
Tl 0.000 0.000 0.231
Tl 0.000 0.000 0.769
Cd 0.500 0.500 0.000
Pm 0.500 0.500 0.500

Below is a relaxed structure of Pm8Tl4Cd3, with properties calculated at the GGA-PBE level.

Calculated values
Mass density, g/cm3: 7.9
ΔH_f (0 K), eV per atom: -0.097
Symmetry: No. 12
Volume, Å³ per cell: 486
Calculated total energy, eV per formula unit: -51.67

Unit cell a=10.668 b=9.038 c=9.038 alpha=89.62 beta=126.06 gamma=126.06
Fractional coordinates of all 15 atoms:
Cd 0.500 0.500 0.000
Cd 0.500 0.000 0.500
Pm 0.500 0.749 0.251
Tl 0.000 0.000 0.500
Pm 0.994 0.250 0.250
Pm 0.509 0.252 0.252
Tl 0.500 0.000 0.000
Cd 0.500 0.500 0.500
Pm 0.006 0.750 0.750
Tl 0.000 0.000 0.000
Pm 0.000 0.339 0.661
Pm 0.491 0.748 0.748
Pm 0.500 0.251 0.749
Pm 0.000 0.661 0.339
Tl 0.000 0.500 0.000

Below is a relaxed structure of Pm2TlCd2, with properties calculated at the GGA-PBE level.

Calculated values
Mass density, g/cm3: 8.7
ΔH_f (0 K), eV per atom: -0.282
ΔE to the lowest computed polymorph, meV/atom: 12
Symmetry: No. 12
Volume, Å³ per cell: 275
Calculated total energy, eV per formula unit: -15.11

Unit cell a=5.076 b=6.246 c=10.091 alpha=96.33 beta=75.43 gamma=66.03
Fractional coordinates of all 10 atoms:
Pm 0.298 0.753 0.651
Cd 0.953 0.677 0.418
Cd 0.341 0.184 0.134
Pm 0.894 0.277 0.934
Cd 0.659 0.816 0.866
Tl 0.552 0.193 0.703
Tl 0.448 0.807 0.297
Cd 0.047 0.323 0.582
Pm 0.702 0.247 0.349
Pm 0.106 0.723 0.066

Below is a relaxed structure of Pm2Tl2Cd3, with properties calculated at the GGA-PBE level.

Calculated values
Mass density, g/cm3: 9.2
ΔH_f (0 K), eV per atom: -0.258
ΔE to the lowest computed polymorph, meV/atom: 0
Symmetry: No. 12
Volume, Å³ per cell: 186
Calculated total energy, eV per formula unit: -18.79

Unit cell a=4.841 b=6.159 c=7.240 alpha=108.47 beta=90.00 gamma=113.14
Fractional coordinates of all 7 atoms:
Tl 0.843 0.686 0.771
Tl 0.157 0.314 0.229
Cd 0.596 0.193 0.425
Pm 0.852 0.705 0.239
Cd 0.404 0.807 0.575
Pm 0.148 0.295 0.761
Cd 0.500 0.000 0.000

Below is a relaxed structure of Pm3Tl2Cd7, with properties calculated at the GGA-PBE level.

Calculated values
Mass density, g/cm3: 8.5
ΔH_f (0 K), eV per atom: -0.176
Symmetry: No. 10
Volume, Å³ per cell: 320
Calculated total energy, eV per formula unit: -27.50

Unit cell a=4.234 b=4.861 c=15.741 alpha=98.97 beta=90.00 gamma=90.00
Fractional coordinates of all 12 atoms:
Pm 0.000 0.818 0.637
Tl 0.500 0.360 0.719
Cd 0.500 0.731 0.462
Cd 0.000 0.576 0.151
Cd 0.500 0.077 0.155
Pm 0.000 0.182 0.363
Cd 0.500 0.923 0.845
Cd 0.000 0.424 0.849
Cd 0.000 0.000 0.000
Pm 0.500 0.500 0.000
Cd 0.500 0.269 0.538
Tl 0.500 0.640 0.281

Below is a relaxed structure of Pm5TlCd4, with properties calculated at the GGA-PBE level.

Calculated values
Mass density, g/cm3: 8.1
ΔH_f (0 K), eV per atom: -0.329
Symmetry: No. 123
Volume, Å³ per cell: 284
Calculated total energy, eV per formula unit: -33.07

Unit cell a=3.820 b=3.820 c=19.458 alpha=90.00 beta=90.00 gamma=90.00
Last column: magnetic moment on the atom in μB.
Fractional coordinates of all 10 atoms:
Pm 0.500 0.500 0.698  0.18
Cd 0.000 0.000 0.401  0.01
Cd 0.000 0.000 0.599  0.01
Pm 0.500 0.500 0.500  0.18
Pm 0.500 0.500 0.302  0.18
Cd 0.000 0.000 0.796  0.01
Pm 0.500 0.500 0.896  0.15
Pm 0.500 0.500 0.104  0.15
Tl 0.000 0.000 0.000  0.01
Cd 0.000 0.000 0.204  0.01

Below is a relaxed structure of Pm2TlCd2, with properties calculated at the GGA-PBE level.

Calculated values
Mass density, g/cm3: 8.7
ΔH_f (0 K), eV per atom: -0.293
ΔE to the lowest computed polymorph, meV/atom: 0
Symmetry: No. 12
Volume, Å³ per cell: 276
Calculated total energy, eV per formula unit: -15.16

Unit cell a=4.949 b=6.594 c=12.172 alpha=48.62 beta=78.27 gamma=67.96
Fractional coordinates of all 10 atoms:
Pm 0.646 0.161 0.047
Cd 0.031 0.595 0.844
Pm 0.354 0.839 0.953
Tl 0.250 0.750 0.250
Tl 0.750 0.250 0.750
Cd 0.530 0.095 0.344
Cd 0.470 0.905 0.656
Pm 0.854 0.339 0.453
Cd 0.969 0.405 0.156
Pm 0.146 0.661 0.547

Below is a relaxed structure of Pm3TlCd3, with properties calculated at the GGA-PBE level.

Calculated values
Mass density, g/cm3: 8.3
ΔH_f (0 K), eV per atom: -0.284
Symmetry: No. 44
Volume, Å³ per cell: 195
Calculated total energy, eV per formula unit: -21.35

Unit cell a=4.973 b=3.651 c=11.165 alpha=99.41 beta=102.87 gamma=90.00
Fractional coordinates of all 7 atoms:
Cd 0.570 0.570 0.141
Pm 0.000 0.000 0.000
Pm 0.699 0.199 0.399
Pm 0.300 0.800 0.600
Tl 0.434 0.434 0.867
Cd 0.142 0.642 0.284
Cd 0.855 0.355 0.709

Below is a relaxed structure of Pm3Tl2Cd6, with properties calculated at the GGA-PBE level.

Calculated values
Mass density, g/cm3: 8.1
ΔH_f (0 K), eV per atom: -0.095
Symmetry: No. 139
Volume, Å³ per cell: 311
Calculated total energy, eV per formula unit: -25.52

Unit cell a=4.309 b=4.309 c=17.034 alpha=97.27 beta=97.27 gamma=90.00
Fractional coordinates of all 11 atoms:
Pm 0.171 0.171 0.341
Cd 0.574 0.074 0.149
Tl 0.641 0.641 0.283
Cd 0.926 0.426 0.851
Cd 0.268 0.268 0.536
Cd 0.732 0.732 0.464
Cd 0.074 0.574 0.149
Pm 0.000 0.000 0.000
Cd 0.426 0.926 0.851
Tl 0.359 0.359 0.717
Pm 0.829 0.829 0.659

Below is a relaxed structure of Pm3TlCd, with properties calculated at the GGA-PBE level.

Calculated values
Mass density, g/cm3: 8.3
ΔH_f (0 K), eV per atom: -0.263
ΔE to the lowest computed polymorph, meV/atom: 0
Symmetry: No. 63
Volume, Å³ per cell: 301
Calculated total energy, eV per formula unit: -18.85

Unit cell a=5.351 b=5.352 c=10.840 alpha=90.00 beta=75.71 gamma=90.00
Last column: magnetic moment on the atom in μB.
Fractional coordinates of all 10 atoms:
Tl 0.170 0.250 0.308  0.00
Cd 0.671 0.750 0.306  0.01
Pm 0.766 0.250 0.117  0.17
Pm 0.883 0.750 0.883  0.17
Pm 0.074 0.750 0.500  0.15
Pm 0.265 0.750 0.119  0.15
Tl 0.478 0.750 0.692  0.00
Pm 0.384 0.250 0.881  0.15
Pm 0.574 0.250 0.500  0.15
Cd 0.977 0.250 0.694  0.01

Below is a relaxed structure of Pm7Tl2Cd2, with properties calculated at the GGA-PBE level.

Calculated values
Mass density, g/cm3: 7.5
ΔH_f (0 K), eV per atom: -0.005
Symmetry: No. 65
Volume, Å³ per cell: 367
Calculated total energy, eV per formula unit: -39.87

Unit cell a=6.900 b=8.239 c=6.900 alpha=89.99 beta=110.54 gamma=90.01
Fractional coordinates of all 11 atoms:
Tl 0.297 0.000 0.703
Cd 0.173 0.500 0.173
Pm 0.500 0.292 0.000
Pm 0.500 0.270 0.500
Pm 0.500 0.708 0.000
Pm 0.000 0.708 0.500
Pm 0.000 0.292 0.500
Pm 0.500 0.730 0.500
Tl 0.703 0.000 0.297
Pm 0.000 0.000 0.000
Cd 0.827 0.500 0.827

Below is a relaxed structure of Pm2Tl2Cd, with properties calculated at the GGA-PBE level.

Calculated values
Mass density, g/cm3: 9.3
ΔH_f (0 K), eV per atom: -0.314
ΔE to the lowest computed polymorph, meV/atom: 0
Symmetry: No. 127
Volume, Å³ per cell: 289
Calculated total energy, eV per formula unit: -16.72

Unit cell a=4.660 b=7.875 c=7.875 alpha=90.00 beta=90.00 gamma=90.00
Fractional coordinates of all 10 atoms:
Tl 0.000 0.863 0.637
Cd 0.000 0.500 0.500
Tl 0.000 0.363 0.863
Cd 0.000 0.000 0.000
Pm 0.500 0.169 0.669
Pm 0.500 0.831 0.331
Tl 0.000 0.637 0.137
Pm 0.500 0.331 0.169
Pm 0.500 0.669 0.831
Tl 0.000 0.137 0.363

Below is a relaxed structure of Pm2Tl2Cd, with properties calculated at the GGA-PBE level.

Calculated values
Mass density, g/cm3: 9.5
ΔH_f (0 K), eV per atom: -0.292
ΔE to the lowest computed polymorph, meV/atom: 22
Symmetry: No. 36
Volume, Å³ per cell: 282
Calculated total energy, eV per formula unit: -16.61

Unit cell a=4.804 b=6.632 c=9.182 alpha=90.00 beta=105.17 gamma=90.00
Fractional coordinates of all 10 atoms:
Tl 0.593 0.050 0.187
Pm 0.004 0.302 0.009
Pm 0.996 0.802 0.991
Cd 0.606 0.571 0.212
Cd 0.394 0.071 0.788
Pm 0.202 0.851 0.405
Tl 0.184 0.360 0.367
Pm 0.798 0.351 0.595
Tl 0.407 0.550 0.813
Tl 0.816 0.860 0.633

Below is a relaxed structure of Pm6TlCd3, with properties calculated at the GGA-PBE level.

Calculated values
Mass density, g/cm3: 8.0
ΔH_f (0 K), eV per atom: -0.239
Symmetry: No. 11
Volume, Å³ per cell: 588
Calculated total energy, eV per formula unit: -36.01

Unit cell a=5.410 b=9.522 c=11.970 alpha=107.52 beta=90.00 gamma=90.00
Fractional coordinates of all 20 atoms:
Pm 0.250 0.658 0.675
Pm 0.250 0.836 0.301
Pm 0.750 0.539 0.914
Cd 0.250 0.529 0.372
Pm 0.750 0.738 0.496
Tl 0.750 0.044 0.405
Tl 0.250 0.956 0.595
Cd 0.250 0.770 0.974
Cd 0.750 0.471 0.628
Pm 0.250 0.461 0.086
Cd 0.750 0.230 0.026
Pm 0.250 0.094 0.876
Pm 0.750 0.869 0.842
Pm 0.750 0.342 0.325
Cd 0.750 0.610 0.213
Pm 0.750 0.164 0.699
Pm 0.250 0.131 0.158
Pm 0.750 0.906 0.124
Cd 0.250 0.390 0.787
Pm 0.250 0.262 0.504

Below is a relaxed structure of Pm6TlCd5, with properties calculated at the GGA-PBE level.

Calculated values
Mass density, g/cm3: 8.0
ΔH_f (0 K), eV per atom: -0.329
ΔE to the lowest computed polymorph, meV/atom: 0
Symmetry: No. 65
Volume, Å³ per cell: 340
Calculated total energy, eV per formula unit: -39.40

Unit cell a=5.413 b=7.722 c=8.574 alpha=90.00 beta=71.60 gamma=90.00
Last column: magnetic moment on the atom in μB.
Fractional coordinates of all 12 atoms:
Cd 0.331 0.000 0.339  0.02
Pm 0.500 0.749 0.000  0.21
Pm 0.500 0.251 0.000  0.21
Cd 0.669 0.000 0.661  0.02
Pm 0.167 0.252 0.666  0.19
Cd 0.000 0.500 0.000  0.02
Cd 0.333 0.500 0.334  0.02
Pm 0.833 0.252 0.334  0.19
Tl 0.000 0.000 0.000  0.01
Pm 0.833 0.748 0.334  0.19
Cd 0.667 0.500 0.666  0.02
Pm 0.167 0.748 0.666  0.19

Below is a relaxed structure of Pm5Tl3Cd, with properties calculated at the GGA-PBE level.

Calculated values
Mass density, g/cm3: 8.9
ΔH_f (0 K), eV per atom: -0.340
Symmetry: No. 193
Volume, Å³ per cell: 538
Calculated total energy, eV per formula unit: -34.83

Unit cell a=6.802 b=9.560 c=9.560 alpha=120.00 beta=90.00 gamma=90.00
Fractional coordinates of all 18 atoms:
Tl 0.750 0.000 0.631
Pm 0.000 0.333 0.667
Pm 0.750 0.291 0.000
Pm 0.750 0.000 0.291
Tl 0.750 0.369 0.369
Pm 0.500 0.333 0.667
Pm 0.750 0.709 0.709
Pm 0.000 0.667 0.333
Tl 0.250 0.369 0.000
Pm 0.250 0.000 0.709
Tl 0.750 0.631 0.000
Tl 0.250 0.000 0.369
Cd 0.000 0.000 0.000
Pm 0.250 0.709 0.000
Cd 0.500 0.000 0.000
Tl 0.250 0.631 0.631
Pm 0.250 0.291 0.291
Pm 0.500 0.667 0.333